The following is a PBE calculation of a geometry-optimized PrHo6ErTm2 structure, from the Alexandria database.

POSCAR file:
```
PrHo6ErTm2
1.0
4.5472 -7.4612 0.0000
4.5472 7.4612 0.0000
-0.9750 0.0000 9.3572
Pr Ho Er Tm
2 12 2 4
direct
0.0289 0.9711 0.7500
0.9711 0.0289 0.2500
0.0145 0.5613 0.6821
0.1227 0.7540 0.0571
0.2460 0.8773 0.4429
0.2914 0.5128 0.8838
0.4387 0.9855 0.8179
0.4872 0.7086 0.6162
0.5128 0.2914 0.3838
0.5613 0.0145 0.1821
0.7086 0.4872 0.1162
0.7540 0.1227 0.5571
0.8773 0.2460 0.9429
0.9855 0.4387 0.3179
0.4107 0.5893 0.2500
0.5893 0.4107 0.7500
0.2009 0.3066 0.5488
0.3066 0.2009 0.0488
0.6934 0.7991 0.9512
0.7991 0.6934 0.4512
```

Values from the calculation:
Crystal system: monoclinic
Magnetic moment (μB per cell): 0.00
DFT total energy (eV per cell): -89.1
Energy relative to the elements (kJ/mol of atoms): 11.8